# CuHg2, optimized geometry, DFT PBE
# * volume: 246 Å³/cell
# * Fermi-level density of states: 0.96 states/eV/f.u.
# * theoretical density: 12561 kg/m3
# * energy of formation from the pure elements: 0.26 eV per atom
# * uncorrected energy: -15.70 eV/cell
data_CuHg2
_space_group_name_H-M_alt 'C m m m'
_space_group_IT_number 65
_space_group_name_Hall '-C 2 2'
_cell_length_a 4.235
_cell_length_b 13.862
_cell_length_c 4.186
_cell_angle_alpha 90.00
_cell_angle_beta 90.00
_cell_angle_gamma 90.00
loop_
_atom_site_label
_atom_site_fract_x
_atom_site_fract_y
_atom_site_fract_z
Cu1 0.000 0.197 0.000
Hg1 0.000 0.000 0.500
Hg2 0.000 0.330 0.500
Hg3 0.000 0.500 0.000

***

# CuHg2, optimized geometry, DFT PBE
# * volume: 125 Å³/cell
# * Fermi-level density of states: 0.18 states/eV/f.u.
# * theoretical density: 12345 kg/m3
# * energy of formation from the pure elements: 0.19 eV per atom
# * uncorrected energy: -8.27 eV/cell
data_CuHg2
_space_group_name_H-M_alt 'P -3 m 1'
_space_group_IT_number 164
_space_group_name_Hall '-P 3 2"'
_cell_length_a 3.2089
_cell_length_b 3.2089
_cell_length_c 14.0197
_cell_angle_alpha 90.00
_cell_angle_beta 90.00
_cell_angle_gamma 120.00
loop_
_atom_site_label
_atom_site_fract_x
_atom_site_fract_y
_atom_site_fract_z
Cu1 0.3333 0.6667 0.0583
Hg1 0.3333 0.6667 0.4010
Hg2 0.3333 0.6667 0.7946

***

# Ho3Cu2Hg4, optimized geometry, DFT PBE
# * volume: 399 Å³/cell
# * Fermi-level density of states: 6.21 states/eV/f.u.
# * theoretical density: 11865 kg/m3
# * energy of formation from the pure elements: -0.33 eV per atom
# * uncorrected energy: -52.28 eV/cell
data_Ho3Cu2Hg4
_space_group_name_H-M_alt 'C 1 2/m 1'
_space_group_IT_number 12
_space_group_name_Hall '-C 2y'
_cell_length_a 10.832
_cell_length_b 4.731
_cell_length_c 8.786
_cell_angle_alpha 90.00
_cell_angle_beta 117.70
_cell_angle_gamma 90.00
loop_
_atom_site_label
_atom_site_fract_x
_atom_site_fract_y
_atom_site_fract_z
Ho1 0.000 0.000 0.000
Ho2 0.169 0.500 0.657
Cu1 0.100 0.500 0.274
Hg1 0.056 0.000 0.380
Hg2 0.210 0.500 0.061

***

# Ho7Cu2Hg2, optimized geometry, DFT PBE
# * volume: 608 Å³/cell
# * Fermi-level density of states: 11.15 states/eV/f.u.
# * theoretical density: 9186 kg/m3
# * energy of formation from the pure elements: -0.07 eV per atom
# * uncorrected energy: -83.25 eV/cell
data_Ho7Cu2Hg2
_space_group_name_H-M_alt 'C m m m'
_space_group_IT_number 65
_space_group_name_Hall '-C 2 2'
_cell_length_a 7.817
_cell_length_b 11.050
_cell_length_c 7.043
_cell_angle_alpha 90.00
_cell_angle_beta 90.00
_cell_angle_gamma 90.00
loop_
_atom_site_label
_atom_site_fract_x
_atom_site_fract_y
_atom_site_fract_z
Ho1 0.000 0.000 0.000
Ho2 0.000 0.500 0.244
Ho3 0.250 0.250 0.257
Cu1 0.000 0.299 0.000
Hg1 0.182 0.000 0.500

***

# Ho3Cu8Hg, optimized geometry, DFT PBE
# * volume: 589 Å³/cell
# * Fermi-level density of states: 7.24 states/eV/f.u.
# * theoretical density: 10184 kg/m3
# * energy of formation from the pure elements: -0.21 eV per atom
# * uncorrected energy: -148.15 eV/cell
data_Ho3Cu8Hg
_space_group_name_H-M_alt 'R 3 m'
_space_group_IT_number 160
_space_group_name_Hall 'R 3 -2"'
_cell_length_a 5.1667
_cell_length_b 5.1667
_cell_length_c 25.4687
_cell_angle_alpha 90.00
_cell_angle_beta 90.00
_cell_angle_gamma 120.00
loop_
_atom_site_label
_atom_site_fract_x
_atom_site_fract_y
_atom_site_fract_z
Ho1 0.0000 0.0000 0.0000
Ho2 0.0000 0.0000 0.1272
Ho3 0.0000 0.0000 0.5128
Cu1 0.0000 0.0000 0.3179
Cu2 0.0000 0.0000 0.8193
Cu3 0.0021 0.5011 0.0692
Cu4 0.1702 0.3403 0.9010
Hg1 0.0000 0.0000 0.6346

***

# HoCuHg, optimized geometry, DFT PBE
# * volume: 125 Å³/cell
# * Fermi-level density of states: 1.90 states/eV/f.u.
# * theoretical density: 11407 kg/m3
# * energy of formation from the pure elements: -0.26 eV per atom
# * uncorrected energy: -19.54 eV/cell
data_HoCuHg
_space_group_name_H-M_alt 'P 1 21/m 1'
_space_group_IT_number 11
_space_group_name_Hall '-P 2yb'
_cell_length_a 4.338
_cell_length_b 4.806
_cell_length_c 6.372
_cell_angle_alpha 90.00
_cell_angle_beta 109.88
_cell_angle_gamma 90.00
loop_
_atom_site_label
_atom_site_fract_x
_atom_site_fract_y
_atom_site_fract_z
Ho1 0.112 0.250 0.216
Cu1 0.232 0.750 0.477
Hg1 0.404 0.250 0.800

***

# Ho2CuHg8, optimized geometry, DFT PBE
# * volume: 261 Å³/cell
# * Fermi-level density of states: 7.85 states/eV/f.u.
# * theoretical density: 12707 kg/m3
# * energy of formation from the pure elements: -0.21 eV per atom
# * uncorrected energy: -17.92 eV/cell
data_Ho2CuHg8
_space_group_name_H-M_alt 'P 4/m m m'
_space_group_IT_number 123
_space_group_name_Hall '-P 4 2'
_cell_length_a 4.576
_cell_length_b 4.576
_cell_length_c 12.471
_cell_angle_alpha 90.00
_cell_angle_beta 90.00
_cell_angle_gamma 90.00
loop_
_atom_site_label
_atom_site_fract_x
_atom_site_fract_y
_atom_site_fract_z
Ho1 0.000 0.000 0.197
Cu1 0.000 0.000 0.500
Hg1 0.000 0.500 0.000
Hg2 0.000 0.500 0.375
Hg3 0.500 0.500 0.185

***

# HoCuHg2, optimized geometry, DFT PBE
# * volume: 345 Å³/cell
# * Fermi-level density of states: 2.96 states/eV/f.u.
# * theoretical density: 12125 kg/m3
# * energy of formation from the pure elements: -0.26 eV per atom
# * uncorrected energy: -41.21 eV/cell
data_HoCuHg2
_space_group_name_H-M_alt 'I 4/m m m'
_space_group_IT_number 139
_space_group_name_Hall '-I 4 2'
_cell_length_a 4.600
_cell_length_b 4.600
_cell_length_c 16.303
_cell_angle_alpha 90.00
_cell_angle_beta 90.00
_cell_angle_gamma 90.00
loop_
_atom_site_label
_atom_site_fract_x
_atom_site_fract_y
_atom_site_fract_z
Ho1 0.000 0.000 0.140
Cu1 0.000 0.500 0.250
Hg1 0.000 0.000 0.343
Hg2 0.000 0.500 0.000

***

# Ho4Cu2Hg, optimized geometry, DFT PBE
# * volume: 683 Å³/cell
# * Fermi-level density of states: 5.57 states/eV/f.u.
# * theoretical density: 9602 kg/m3
# * energy of formation from the pure elements: -0.21 eV per atom
# * ΔE to the lowest computed polymorph: 0.000 eV/atom
# * uncorrected energy: -113.17 eV/cell
data_Ho4Cu2Hg
_space_group_name_H-M_alt 'C 1 c 1'
_space_group_IT_number 9
_space_group_name_Hall 'C -2yc'
_cell_length_a 8.500
_cell_length_b 14.942
_cell_length_c 6.803
_cell_angle_alpha 90.00
_cell_angle_beta 127.77
_cell_angle_gamma 90.00
loop_
_atom_site_label
_atom_site_fract_x
_atom_site_fract_y
_atom_site_fract_z
Ho1 0.000 0.018 0.000
Ho2 0.217 0.322 0.639
Ho3 0.450 0.249 0.375
Ho4 0.477 0.037 0.632
Cu1 0.135 0.159 0.363
Cu2 0.235 0.404 0.035
Hg1 0.254 0.136 0.867

***

# HoCuHg6, optimized geometry, DFT PBE
# * volume: 765 Å³/cell
# * Fermi-level density of states: 2.85 states/eV/f.u.
# * theoretical density: 9320 kg/m3
# * energy of formation from the pure elements: 0.26 eV per atom
# * uncorrected energy: -25.33 eV/cell
data_HoCuHg6
_space_group_name_H-M_alt 'R -3 m'
_space_group_IT_number 166
_space_group_name_Hall '-R 3 2"'
_cell_length_a 6.1259
_cell_length_b 6.1259
_cell_length_c 23.5513
_cell_angle_alpha 90.00
_cell_angle_beta 90.00
_cell_angle_gamma 120.00
loop_
_atom_site_label
_atom_site_fract_x
_atom_site_fract_y
_atom_site_fract_z
Ho1 0.0000 0.0000 0.0000
Cu1 0.0000 0.0000 0.5000
Hg1 0.0079 0.5039 0.4361

***

# Ho6Cu2Hg, optimized geometry, DFT PBE
# * volume: 921 Å³/cell
# * Fermi-level density of states: 8.61 states/eV/f.u.
# * theoretical density: 9498 kg/m3
# * energy of formation from the pure elements: -0.22 eV per atom
# * uncorrected energy: -151.93 eV/cell
data_Ho6Cu2Hg
_space_group_name_H-M_alt 'I m m m'
_space_group_IT_number 71
_space_group_name_Hall '-I 2 2'
_cell_length_a 9.400
_cell_length_b 9.687
_cell_length_c 10.116
_cell_angle_alpha 90.00
_cell_angle_beta 90.00
_cell_angle_gamma 90.00
loop_
_atom_site_label
_atom_site_fract_x
_atom_site_fract_y
_atom_site_fract_z
Ho1 0.000 0.195 0.241
Ho2 0.197 0.500 0.177
Ho3 0.217 0.317 0.500
Cu1 0.000 0.354 0.000
Cu2 0.000 0.500 0.379
Hg1 0.000 0.000 0.000
Hg2 0.000 0.000 0.500